[1]
Compound: YReSe2
Source: the Alexandria database
Functional: GGA-PBE
Structure: optimized geometry

```
YReSe2
1.0
-4.8200 5.0038 -2.6478
-0.0437 -2.2763 4.1065
-0.1751 2.9210 1.6176
Re Se Y
1 2 1
direct
0.5000 0.5000 0.0000 Re
0.0000 0.0000 0.0000 Se
0.5000 0.0000 0.5000 Se
0.0000 0.5000 0.5000 Y
```

Properties
Symmetry: P4/mmm (123)
Total magnetic moment in μB per cell: 0.249
Formation energy without anion corrections in eV/f.u.: -1.382
Offset from the most stable computed form in meV per atom: 202

***

[2]
Compound: YReSe2
Source: the Alexandria database
Functional: GGA-PBE
Structure: optimized geometry

```
YReSe2
1.0
8.3843 -4.1269 0.6802
7.9892 -4.1367 -2.6175
9.1931 -1.4403 -1.0972
Y Re Se
1 1 2
direct
0.0000 0.0000 0.0000 Y
0.5000 0.5000 0.5000 Re
0.8956 0.8956 0.8956 Se
0.1044 0.1044 0.1044 Se
```

Properties
Symmetry: R-3m (166)
Total magnetic moment in μB per cell: 0.000
Formation energy without anion corrections in eV/f.u.: -0.066
Offset from the most stable computed form in meV per atom: 531

***

[3]
Compound: YRe2Se
Source: the Alexandria database
Functional: GGA-PBE
Structure: optimized geometry

```
YRe2Se
1.0
3.9375 0.0000 0.0000
0.0000 3.3056 0.0244
0.0000 1.9014 5.9982
Re Se Y
2 1 1
direct
0.0000 0.9801 0.0803 Re
0.5000 0.3078 0.1951 Re
0.0000 0.4302 0.4970 Se
0.5000 0.7818 0.7276 Y
```

Properties
Symmetry: Pm (6)
Total magnetic moment in μB per cell: 0.000
Formation energy without anion corrections in eV/f.u.: 0.380

***

[4]
Compound: YRe2Se
Source: the Alexandria database
Functional: GGA-PBE
Structure: optimized geometry

```
YRe2Se
1.0
3.3450 0.0000 0.0000
0.0000 4.2336 0.0000
0.0000 0.0000 5.1937
Re Se Y
2 1 1
direct
0.0000 0.0000 0.0000 Re
0.5000 0.5000 0.0000 Re
0.5000 0.0000 0.5000 Se
0.0000 0.5000 0.5000 Y
```

Properties
Symmetry: Pmmm (47)
Total magnetic moment in μB per cell: 0.000
Formation energy without anion corrections in eV/f.u.: 0.715

***

[5]
Compound: YReSe4
Source: the Alexandria database
Functional: GGA-PBE
Structure: optimized geometry

```
YReSe4
1.0
-0.1535 -4.9290 -2.7923
-0.8814 -4.8319 2.8270
-4.9078 -2.7719 -0.5878
Y Re Se
1 1 4
direct
0.7500 0.7500 0.7500 Y
0.0000 0.0000 0.0000 Re
0.8780 0.3740 0.3740 Se
0.3740 0.3740 0.8780 Se
0.3740 0.8780 0.3740 Se
0.3740 0.3740 0.3740 Se
```

Properties
Symmetry: F-43m (216)
Total magnetic moment in μB per cell: 3.347
Formation energy without anion corrections in eV/f.u.: 4.543

***

[6]
Compound: YRe3Se
Source: the Alexandria database
Functional: GGA-PBE
Structure: optimized geometry

```
YRe3Se
1.0
4.8836 0.0000 0.0000
0.0000 4.8836 0.0000
0.0000 0.0000 4.8836
Y Re Se
1 3 1
direct
0.0000 0.0000 0.0000 Y
0.0000 0.5000 0.0000 Re
0.0000 0.0000 0.5000 Re
0.5000 0.0000 0.0000 Re
0.5000 0.5000 0.5000 Se
```

Properties
Symmetry: Pm-3m (221)
Total magnetic moment in μB per cell: 1.880
Formation energy without anion corrections in eV/f.u.: 16.349

***

[7]
Compound: YRe2Se
Source: the Alexandria database
Functional: GGA-PBE
Structure: optimized geometry

```
YRe2Se
1.0
-0.3036 -2.4011 -1.8955
1.0662 -2.7786 3.3490
-5.2602 -0.3970 1.3453
Re Se Y
2 1 1
direct
0.0000 0.0000 0.0334 Re
0.0000 0.0000 0.4666 Re
0.5000 0.5000 0.2500 Se
0.5000 0.5000 0.7500 Y
```

Properties
Symmetry: Pmmm (47)
Total magnetic moment in μB per cell: 0.000
Formation energy without anion corrections in eV/f.u.: 2.115

***

[8]
Compound: YReSe2
Source: the Alexandria database
Functional: GGA-PBE
Structure: optimized geometry

```
YReSe2
1.0
-2.0222 6.8316 5.4238
0.3675 5.1638 7.3060
1.3502 7.4060 4.8482
Y Re Se
1 1 2
direct
0.5000 0.5000 0.5000 Y
0.0000 0.0000 0.0000 Re
0.9089 0.9089 0.9089 Se
0.0911 0.0911 0.0911 Se
```

Properties
Symmetry: R-3m (166)
Total magnetic moment in μB per cell: 0.000
Formation energy without anion corrections in eV/f.u.: 0.363
Offset from the most stable computed form in meV per atom: 638